# 1
SrGe3Rh5 | GGA-PBE | optimized geometry

## Properties
The total energy is -0.233 Ha/atom. The space-group type is No. 63.

Cell: 4.033 6.769 12.334 Å, 90.00 90.00 107.33°
Positions (direct):
1 Sr 0.830 0.661 0.750
2 Sr 0.170 0.339 0.250
3 Ge 0.381 0.762 0.955
4 Ge 0.889 0.779 0.250
5 Ge 0.381 0.762 0.545
6 Ge 0.619 0.238 0.455
7 Ge 0.111 0.221 0.750
8 Ge 0.619 0.238 0.045
9 Rh 0.803 0.605 0.433
10 Rh 0.197 0.395 0.933
11 Rh 0.000 0.000 0.500
12 Rh 0.000 0.000 0.000
13 Rh 0.448 0.896 0.143
14 Rh 0.552 0.104 0.857
15 Rh 0.552 0.104 0.643
16 Rh 0.803 0.605 0.067
17 Rh 0.197 0.395 0.567
18 Rh 0.448 0.896 0.357



# 2
SrGe3Rh | GGA-PBE | optimized geometry

## Properties
The total energy is -0.173 Ha/atom. The space-group type is No. 221.

Cell: 4.910 4.910 4.910 Å, 90.00 90.00 90.00°
Positions (direct):
1 Sr 0.500 0.500 0.500
2 Ge 0.000 0.500 0.000
3 Ge 0.000 0.000 0.500
4 Ge 0.500 0.000 0.000
5 Rh 0.000 0.000 0.000